Compound: Pr4CdNi
Source: Alexandria
Functional: PBEsol
Structure: relaxed

Structure (CIF):
```
data_Pr4CdNi
_chemical_formula_sum 'Pr16 Cd4 Ni4'
_symmetry_space_group_name_H-M 'P 1'
_symmetry_Int_Tables_number 1
_cell_length_a 9.7384
_cell_length_b 9.7384
_cell_length_c 9.7384
_cell_angle_alpha 60.00
_cell_angle_beta 60.00
_cell_angle_gamma 60.00
loop_
_symmetry_equiv_pos_as_xyz
'x,y,z'
loop_
_atom_site_label
_atom_site_fract_x
_atom_site_fract_y
_atom_site_fract_z
_atom_site_occupancy
Pr1 0.1878 0.1878 0.8122 1
Pr2 0.1878 0.8122 0.1878 1
Pr3 0.1878 0.8122 0.8122 1
Pr4 0.4022 0.4022 0.4022 1
Pr5 0.4022 0.4022 0.7933 1
Pr6 0.4022 0.7933 0.4022 1
Pr7 0.5575 0.5575 0.9425 1
Pr8 0.5575 0.9425 0.5575 1
Pr9 0.5575 0.9425 0.9425 1
Pr10 0.7933 0.4022 0.4022 1
Pr11 0.8122 0.1878 0.1878 1
Pr12 0.8122 0.1878 0.8122 1
Pr13 0.8122 0.8122 0.1878 1
Pr14 0.9425 0.5575 0.5575 1
Pr15 0.9425 0.5575 0.9425 1
Pr16 0.9425 0.9425 0.5575 1
Cd1 0.1712 0.1712 0.1712 1
Cd2 0.1712 0.1712 0.4865 1
Cd3 0.1712 0.4865 0.1712 1
Cd4 0.4865 0.1712 0.1712 1
Ni1 0.1773 0.6076 0.6076 1
Ni2 0.6076 0.1773 0.6076 1
Ni3 0.6076 0.6076 0.1773 1
Ni4 0.6076 0.6076 0.6076 1
```

Computed properties:
total DFT energy (no corrections)	-4.9154	eV/atom
formation energy	-0.23	eV per atom
V	27.2	Å³/atom
DOS(E_F)	19.16	states/eV/cell
calculated density	7.5	g cm⁻³

***

Compound: Li2Ti3CrO8
Source: Alexandria
Functional: PBEsol
Structure: relaxed

Structure (CIF):
```
data_Li2Ti3CrO8
_chemical_formula_sum 'Li8 Ti12 Cr4 O32'
_symmetry_space_group_name_H-M 'P 1'
_symmetry_Int_Tables_number 1
_cell_length_a 8.2921
_cell_length_b 8.2921
_cell_length_c 8.2921
_cell_angle_alpha 90.00
_cell_angle_beta 90.00
_cell_angle_gamma 90.00
loop_
_symmetry_equiv_pos_as_xyz
'x,y,z'
loop_
_atom_site_label
_atom_site_fract_x
_atom_site_fract_y
_atom_site_fract_z
_atom_site_occupancy
Li1 0.0024 0.4976 0.5024 1
Li2 0.2476 0.7476 0.7524 1
Li3 0.2524 0.2524 0.2524 1
Li4 0.4976 0.5024 0.0024 1
Li5 0.5024 0.0024 0.4976 1
Li6 0.7476 0.7524 0.2476 1
Li7 0.7524 0.2476 0.7476 1
Li8 0.9976 0.9976 0.9976 1
Ti1 0.1187 0.6250 0.1313 1
Ti2 0.1250 0.3687 0.8813 1
Ti3 0.1313 0.1187 0.6250 1
Ti4 0.3687 0.8813 0.1250 1
Ti5 0.3750 0.6313 0.3813 1
Ti6 0.3813 0.3750 0.6313 1
Ti7 0.6187 0.8750 0.8687 1
Ti8 0.6250 0.1313 0.1187 1
Ti9 0.6313 0.3813 0.3750 1
Ti10 0.8687 0.6187 0.8750 1
Ti11 0.8750 0.8687 0.6187 1
Ti12 0.8813 0.1250 0.3687 1
Cr1 0.1250 0.8750 0.3750 1
Cr2 0.3750 0.1250 0.8750 1
Cr3 0.6250 0.6250 0.6250 1
Cr4 0.8750 0.3750 0.1250 1
O1 0.1099 0.6099 0.8901 1
O2 0.1131 0.3863 0.1171 1
O3 0.1137 0.8829 0.6131 1
O4 0.1171 0.1131 0.3863 1
O5 0.1329 0.8637 0.1369 1
O6 0.1363 0.6369 0.3671 1
O7 0.1369 0.1329 0.8637 1
O8 0.1401 0.3599 0.6401 1
O9 0.3599 0.6401 0.1401 1
O10 0.3631 0.8671 0.3637 1
O11 0.3637 0.3631 0.8671 1
O12 0.3671 0.1363 0.6369 1
O13 0.3829 0.8869 0.8863 1
O14 0.3863 0.1171 0.1131 1
O15 0.3869 0.6137 0.6171 1
O16 0.3901 0.3901 0.3901 1
O17 0.6099 0.8901 0.1099 1
O18 0.6131 0.1137 0.8829 1
O19 0.6137 0.6171 0.3869 1
O20 0.6171 0.3869 0.6137 1
O21 0.6329 0.6363 0.8631 1
O22 0.6363 0.8631 0.6329 1
O23 0.6369 0.3671 0.1363 1
O24 0.6401 0.1401 0.3599 1
O25 0.8599 0.8599 0.8599 1
O26 0.8631 0.6329 0.6363 1
O27 0.8637 0.1369 0.1329 1
O28 0.8671 0.3637 0.3631 1
O29 0.8829 0.6131 0.1137 1
O30 0.8863 0.3829 0.8869 1
O31 0.8869 0.8863 0.3829 1
O32 0.8901 0.1099 0.6099 1
```

Computed properties:
total DFT energy (no corrections)	-8.4956	eV/atom
V	10.2	Å³/atom
DOS(E_F)	11.08	states/eV/cell
calculated density	3.9	g cm⁻³
ΔE to the lowest computed polymorph	0	meV per atom
formation energy (no corrections)	-37.8	eV/f.u.

***

Compound: Sc3FeAu
Source: Alexandria
Functional: PBEsol
Structure: relaxed

Structure (CIF):
```
data_Sc3FeAu
_chemical_formula_sum 'Sc3 Fe1 Au1'
_symmetry_space_group_name_H-M 'P 1'
_symmetry_Int_Tables_number 1
_cell_length_a 5.0586
_cell_length_b 5.0586
_cell_length_c 5.0586
_cell_angle_alpha 90.00
_cell_angle_beta 90.00
_cell_angle_gamma 90.00
loop_
_symmetry_equiv_pos_as_xyz
'x,y,z'
loop_
_atom_site_label
_atom_site_fract_x
_atom_site_fract_y
_atom_site_fract_z
_atom_site_occupancy
Sc1 0.0000 0.0000 0.5000 1
Sc2 0.0000 0.5000 0.0000 1
Sc3 0.5000 0.0000 0.0000 1
Fe1 0.5000 0.5000 0.5000 1
Au1 0.0000 0.0000 0.0000 1
```

Computed properties:
total DFT energy (no corrections)	-5.9439	eV/atom
formation energy	0.60	eV per atom
V	25.9	Å³/atom
DOS(E_F)	10.86	states/eV/cell
calculated density	5.0	g cm⁻³

***

Compound: Li2SiRh
Source: Alexandria
Functional: PBEsol
Structure: relaxed

Structure (CIF):
```
data_Li2SiRh
_chemical_formula_sum 'Li2 Si1 Rh1'
_symmetry_space_group_name_H-M 'P 1'
_symmetry_Int_Tables_number 1
_cell_length_a 5.0432
_cell_length_b 5.0432
_cell_length_c 5.0432
_cell_angle_alpha 147.40
_cell_angle_beta 133.33
_cell_angle_gamma 58.09
loop_
_symmetry_equiv_pos_as_xyz
'x,y,z'
loop_
_atom_site_label
_atom_site_fract_x
_atom_site_fract_y
_atom_site_fract_z
_atom_site_occupancy
Li1 0.2495 0.2495 0.0000 1
Li2 0.7505 0.7505 0.0000 1
Si1 0.5000 0.0000 0.5000 1
Rh1 0.0000 0.5000 0.5000 1
```

Computed properties:
total DFT energy (no corrections)	-4.9378	eV/atom
V	12.5	Å³/atom
DOS(E_F)	1.51	states/eV/cell
calculated density	4.8	g cm⁻³
formation energy (no corrections)	-1.9	eV/f.u.